Entry 1:
4
Lattice="3.727 0.000 0.000 0.000 4.765 0.000 0.000 0.000 6.618" Properties=species:S:1:pos:R:3 comment="La2BeTl, optimized geometry, DFT GGA-PBE" e_above_lowest_polymorph_kj_per_mol_fu=123 formation_energy_ev_per_fu=0.867 pbc="T T T"
Be 1.863 2.382 5.249
Tl 0.000 0.000 3.181
La 0.000 0.000 6.273
La 1.863 2.382 1.841


Entry 2:
9
Lattice="4.716 0.026 0.011 2.386 6.598 0.303 2.356 2.883 12.320" Properties=species:S:1:pos:R:3 comment="Cs3Te4Se2, optimized geometry, DFT GGA-PBE" e_above_lowest_polymorph_kj_per_mol_fu=60 formation_energy_uncorrected_ev_per_atom=-0.57 pbc="T T T"
Cs 4.744 2.632 8.038
Cs 0.000 0.000 0.000
Cs 4.714 6.875 4.595
Te 2.348 2.967 1.397
Te 7.101 5.550 7.507
Te 2.358 3.957 5.126
Te 7.111 6.540 11.236
Se 4.716 3.337 2.949
Se 4.742 6.170 9.685


Entry 3:
10
Lattice="1.443 2.167 4.670 4.227 -3.018 3.154 5.576 2.405 0.221" Properties=species:S:1:pos:R:3 comment="Ti2S2N, optimized geometry, DFT GGA-PBE" formation_energy_uncorrected_ev_per_atom=-1.28 pbc="T T T"
Ti 3.990 -1.223 2.395
Ti 7.255 2.777 5.651
Ti 5.973 -0.559 4.534
Ti 5.273 2.113 3.511
S 1.894 0.054 2.450
S 9.351 1.500 5.595
S 8.336 -0.764 3.899
S 2.910 2.318 4.146
N 5.262 0.235 2.855
N 5.984 1.319 5.190


Entry 4:
6
Lattice="4.510 0.000 0.000 0.000 4.510 0.000 0.000 0.000 8.198" Properties=species:S:1:pos:R:3 comment="ThScIn, optimized geometry, DFT GGA-PBE" e_above_lowest_polymorph_kj_per_mol_fu=80 formation_energy_ev_per_fu=-0.054 pbc="T T T"
Sc 0.000 2.255 6.262
Sc 2.255 0.000 1.935
In 2.255 2.255 0.000
In 0.000 0.000 0.000
Th 2.255 0.000 5.272
Th 0.000 2.255 2.926


Entry 5:
20
Lattice="-0.239 2.270 -2.289 0.220 -6.956 -6.922 -9.786 -0.668 0.361" Properties=species:S:1:pos:R:3 comment="Li2GaSi2Pd5, optimized geometry, DFT GGA-PBE" formation_energy_uncorrected_ev_per_atom=-0.60 pbc="T T T"
Li -1.521 -4.778 -4.579
Li -8.046 -2.846 -1.981
Li -3.187 -1.406 -1.061
Li -6.379 -6.218 -5.499
Ga 0.000 0.000 0.000
Ga -4.783 -3.812 -3.280
Si -6.150 -1.336 -0.681
Si -3.417 -6.289 -5.879
Si -8.362 -4.972 -4.057
Si -1.205 -2.652 -2.504
Pd -0.777 -0.306 -2.505
Pd -9.029 -5.048 -6.345
Pd -7.930 0.102 -1.352
Pd -4.158 -4.023 -5.837
Pd -1.876 -5.457 -7.498
Pd -5.648 -1.332 -3.013
Pd -6.848 -3.309 -4.849
Pd -2.959 -2.045 -4.001
Pd -0.010 -2.343 -4.605
Pd -5.013 0.801 -0.964


Entry 6:
7
Lattice="3.975 0.000 1.242 1.794 3.548 1.242 -0.078 -0.048 7.233" Properties=species:S:1:pos:R:3 comment="CuGe2Rh4, optimized geometry, DFT GGA-PBE" e_above_lowest_polymorph_kj_per_mol_fu=0 formation_energy_ev_per_fu=-2.717 pbc="T T T"
Ge 4.284 2.635 7.236
Ge 1.407 0.865 2.481
Rh 5.014 3.083 4.902
Rh 0.677 0.417 4.815
Rh 3.587 2.206 2.486
Rh 2.104 1.294 7.232
Cu 0.000 0.000 0.000


Entry 7:
8
Lattice="5.152 0.000 0.000 0.000 5.152 0.000 0.000 0.000 5.152" Properties=species:S:1:pos:R:3 comment="LaFe3, optimized geometry, DFT GGA-PBE" formation_energy_ev_per_fu=2.234 pbc="T T T"
La 0.000 0.000 0.000
La 2.576 2.576 2.576
Fe 1.288 2.576 0.000
Fe 3.864 2.576 0.000
Fe 0.000 1.288 2.576
Fe 0.000 3.864 2.576
Fe 2.576 0.000 1.288
Fe 2.576 0.000 3.864


Entry 8:
8
Lattice="4.577 0.000 0.000 0.000 8.539 -3.630 0.000 -2.442 6.113" Properties=species:S:1:pos:R:3 comment="TmZrSc6, optimized geometry, DFT GGA-PBE" e_above_lowest_polymorph_kj_per_mol_fu=27 formation_energy_ev_per_fu=0.345 pbc="T T T"
Tm 0.000 5.622 1.367
Zr 2.288 4.711 -0.778
Sc 0.000 6.800 -1.633
Sc 0.000 2.645 0.133
Sc 0.000 1.396 3.284
Sc 2.288 3.471 2.334
Sc 2.288 -0.728 4.120
Sc 2.288 0.470 1.105


Question: Which formula does entry 6 have?
Answer: CuGe2Rh4